This record from Alexandria describes a geometry-optimized CuAsPb2O structure. The functional is PBE-GGA.

Cell lengths 5.6624, 5.6624, 4.3354 Å; angles 90.00, 90.00, 90.00 degrees
Atoms (fractional coordinates):
Cu1 0.0000 0.0000 0.0000
As1 0.0000 0.0000 0.5000
Pb1 0.0000 0.5000 0.5000
Pb2 0.5000 0.0000 0.5000
O1 0.5000 0.5000 0.0000

- Symmetry: No. 123
- N(E_F): 1.076 states/eV/f.u.

This record from Alexandria describes a geometry-optimized Cu4As3PbO12 structure. The functional is PBE-GGA.

Cell lengths 6.6090, 6.6090, 6.6090 Å; angles 107.12, 107.12, 107.12 degrees
Atoms (fractional coordinates):
Cu1 0.0000 0.0000 0.0000
Cu2 0.0000 0.3851 0.6149
Cu3 0.3851 0.6149 0.0000
Cu4 0.6149 0.0000 0.3851
As1 0.0790 0.9210 0.5000
As2 0.5000 0.0790 0.9210
As3 0.9210 0.5000 0.0790
Pb1 0.5000 0.5000 0.5000
O1 0.0000 0.5922 0.4078
O2 0.0000 0.8184 0.1816
O3 0.1415 0.2117 0.4999
O4 0.1816 0.0000 0.8184
O5 0.2117 0.4999 0.1415
O6 0.4078 0.0000 0.5922
O7 0.4999 0.1415 0.2117
O8 0.5001 0.7883 0.8585
O9 0.5922 0.4078 0.0000
O10 0.7883 0.8585 0.5001
O11 0.8184 0.1816 0.0000
O12 0.8585 0.5001 0.7883

- Energy above the lowest structure with this stoichiometry: 0.112 eV per atom
- Symmetry: No. 155
- N(E_F): 11.198 states/eV/f.u.

This record from Alexandria describes a geometry-optimized CuAs2Pb2O6 structure. The functional is PBE-GGA.

Cell lengths 6.3592, 6.3592, 7.9414 Å; angles 121.98, 121.98, 49.35 degrees
Atoms (fractional coordinates):
Cu1 0.0000 0.0000 0.0000
As1 0.4593 0.4593 0.6939
As2 0.5407 0.5407 0.3061
Pb1 0.2223 0.2223 0.7749
Pb2 0.7777 0.7777 0.2251
O1 0.1491 0.6437 0.7799
O2 0.3504 0.3504 0.1233
O3 0.3563 0.8509 0.2201
O4 0.6437 0.1491 0.7799
O5 0.6496 0.6496 0.8767
O6 0.8509 0.3563 0.2201

- Symmetry: No. 12
- N(E_F): 0.387 states/eV/f.u.

This record from Alexandria describes a geometry-optimized CuAs2PbO8 structure. The functional is PBE-GGA.

Cell lengths 8.1036, 8.1036, 8.1036 Å; angles 35.11, 35.11, 35.11 degrees
Atoms (fractional coordinates):
Cu1 0.0000 0.0000 0.0000
As1 0.2630 0.2630 0.2630
As2 0.7370 0.7370 0.7370
Pb1 0.5000 0.5000 0.5000
O1 0.0562 0.3688 0.7291
O2 0.1875 0.1875 0.1875
O3 0.2709 0.9438 0.6312
O4 0.3688 0.7291 0.0562
O5 0.6312 0.2709 0.9438
O6 0.7291 0.0562 0.3688
O7 0.8125 0.8125 0.8125
O8 0.9438 0.6312 0.2709

- Symmetry: No. 148
- N(E_F): 4.769 states/eV/f.u.

This record from Alexandria describes a geometry-optimized CuAs2PdO8 structure. The functional is PBE-GGA.

Cell lengths 5.6876, 5.6876, 5.6876 Å; angles 108.39, 108.39, 111.65 degrees
Atoms (fractional coordinates):
Cu1 0.0000 0.0000 0.0000
As1 0.5000 0.5000 0.0000
As2 0.7500 0.2500 0.5000
Pd1 0.2500 0.7500 0.5000
O1 0.3069 0.1214 0.8146
O2 0.3069 0.4923 0.1854
O3 0.3740 0.0654 0.3086
O4 0.5077 0.6931 0.8146
O5 0.7569 0.0654 0.6914
O6 0.8786 0.6931 0.1854
O7 0.9346 0.2431 0.3086
O8 0.9346 0.6260 0.6914

- Symmetry: No. 119
- N(E_F): 5.745 states/eV/f.u.

This record from Alexandria describes a geometry-optimized PmCuAsO4 structure. The functional is PBE-GGA.

Cell lengths 6.6642, 6.6642, 6.6642 Å; angles 128.56, 115.11, 87.26 degrees
Atoms (fractional coordinates):
Pm1 0.0000 0.0000 0.0000
Pm2 0.5000 0.0000 0.5000
Cu1 0.5000 0.0000 0.0000
Cu2 0.5000 0.5000 0.5000
As1 0.0827 0.3327 0.7500
As2 0.9173 0.6673 0.2500
O1 0.2034 0.2159 0.5125
O2 0.2034 0.6910 0.9875
O3 0.3056 0.2423 0.0633
O4 0.3210 0.7577 0.5633
O5 0.6790 0.2423 0.4367
O6 0.6944 0.7577 0.9367
O7 0.7966 0.3090 0.0125
O8 0.7966 0.7841 0.4875

- Symmetry: No. 74
- N(E_F): 2.128 states/eV/f.u.

This record from Alexandria describes a geometry-optimized PmCuAs2O8 structure. The functional is PBE-GGA.

Cell lengths 5.9753, 5.9753, 5.9753 Å; angles 106.56, 106.56, 115.46 degrees
Atoms (fractional coordinates):
Pm1 0.0000 0.0000 0.0000
Cu1 0.2500 0.7500 0.5000
As1 0.5000 0.5000 0.0000
As2 0.7500 0.2500 0.5000
O1 0.3240 0.1392 0.8152
O2 0.3240 0.5087 0.1848
O3 0.3921 0.0696 0.3225
O4 0.4913 0.6760 0.8152
O5 0.7471 0.0696 0.6775
O6 0.8608 0.6760 0.1848
O7 0.9304 0.2529 0.3225
O8 0.9304 0.6079 0.6775

- Symmetry: No. 119
- N(E_F): 8.707 states/eV/f.u.

This record from Alexandria describes a geometry-optimized PmCu2AsO6 structure. The functional is PBE-GGA.

Cell lengths 6.8463, 6.8463, 6.5200 Å; angles 112.88, 112.88, 86.44 degrees
Atoms (fractional coordinates):
Pm1 0.1860 0.8140 0.7500
Pm2 0.8140 0.1860 0.2500
Cu1 0.3324 0.3697 0.8643
Cu2 0.3697 0.3324 0.3643
Cu3 0.6303 0.6676 0.6357
Cu4 0.6676 0.6303 0.1357
As1 0.1659 0.8341 0.2500
As2 0.8341 0.1659 0.7500
O1 0.0615 0.1693 0.6935
O2 0.1610 0.6364 0.9894
O3 0.1693 0.0615 0.1935
O4 0.2359 0.4402 0.5811
O5 0.3636 0.8390 0.5106
O6 0.4402 0.2359 0.0811
O7 0.5598 0.7641 0.9189
O8 0.6364 0.1610 0.4894
O9 0.7641 0.5598 0.4189
O10 0.8307 0.9385 0.8065
O11 0.8390 0.3636 0.0106
O12 0.9385 0.8307 0.3065

- Symmetry: No. 15
- N(E_F): 4.508 states/eV/f.u.

This record from Alexandria describes a geometry-optimized CuAs2PtO8 structure. The functional is PBE-GGA.

Cell lengths 5.6834, 5.6834, 5.6834 Å; angles 108.49, 108.49, 111.45 degrees
Atoms (fractional coordinates):
Cu1 0.0000 0.0000 0.0000
As1 0.5000 0.5000 0.0000
As2 0.7500 0.2500 0.5000
Pt1 0.2500 0.7500 0.5000
O1 0.3066 0.1185 0.8119
O2 0.3066 0.4947 0.1881
O3 0.3736 0.0658 0.3078
O4 0.5053 0.6934 0.8119
O5 0.7581 0.0658 0.6922
O6 0.8815 0.6934 0.1881
O7 0.9342 0.2419 0.3078
O8 0.9342 0.6264 0.6922

- Symmetry: No. 119
- N(E_F): 5.536 states/eV/f.u.

This record from Alexandria describes a geometry-optimized PuCuAsO6 structure. The functional is PBE-GGA.

Cell lengths 5.2585, 5.2585, 8.9714 Å; angles 90.00, 90.00, 120.00 degrees
Atoms (fractional coordinates):
Pu1 0.3333 0.6667 0.2500
Pu2 0.6667 0.3333 0.7500
Cu1 0.0000 0.0000 0.0000
Cu2 0.0000 0.0000 0.5000
As1 0.3333 0.6667 0.7500
As2 0.6667 0.3333 0.2500
O1 0.0337 0.3675 0.6329
O2 0.0337 0.6662 0.8671
O3 0.3338 0.3675 0.8671
O4 0.3338 0.9663 0.6329
O5 0.3675 0.0337 0.1329
O6 0.3675 0.3338 0.3671
O7 0.6325 0.6662 0.6329
O8 0.6325 0.9663 0.8671
O9 0.6662 0.0337 0.3671
O10 0.6662 0.6325 0.1329
O11 0.9663 0.3338 0.1329
O12 0.9663 0.6325 0.3671

- Symmetry: No. 163
- N(E_F): 6.451 states/eV/f.u.

This record from Alexandria describes a geometry-optimized PuCuAsO5 structure. The functional is PBE-GGA.

Cell lengths 5.8269, 5.8269, 8.0712 Å; angles 101.74, 101.74, 110.40 degrees
Atoms (fractional coordinates):
Pu1 0.0000 0.5000 0.0000
Pu2 0.5000 0.0000 0.5000
Cu1 0.0480 0.9520 0.7500
Cu2 0.9520 0.0480 0.2500
As1 0.4465 0.5535 0.7500
As2 0.5535 0.4465 0.2500
O1 0.1547 0.7956 0.9360
O2 0.2000 0.3248 0.8511
O3 0.2044 0.8453 0.5640
O4 0.3248 0.2000 0.3511
O5 0.3690 0.6310 0.2500
O6 0.6310 0.3690 0.7500
O7 0.6752 0.8000 0.6489
O8 0.7956 0.1547 0.4360
O9 0.8000 0.6752 0.1489
O10 0.8453 0.2044 0.0640

- Symmetry: No. 15
- N(E_F): 4.003 states/eV/f.u.

This record from Alexandria describes a geometry-optimized PuCu2AsO8 structure. The functional is PBE-GGA.

Cell lengths 5.7363, 5.7363, 5.7363 Å; angles 114.04, 114.04, 100.67 degrees
Atoms (fractional coordinates):
Pu1 0.0000 0.0000 0.0000
Cu1 0.2500 0.7500 0.5000
Cu2 0.5000 0.5000 0.0000
As1 0.7500 0.2500 0.5000
O1 0.0513 0.3516 0.3003
O2 0.0513 0.7510 0.6997
O3 0.0894 0.3058 0.7836
O4 0.2490 0.9487 0.3003
O5 0.5222 0.3058 0.2164
O6 0.6484 0.9487 0.6997
O7 0.6942 0.4778 0.7836
O8 0.6942 0.9106 0.2164

- Symmetry: No. 119
- N(E_F): 4.816 states/eV/f.u.

This record from Alexandria describes a geometry-optimized RbCuAs2O6 structure. The functional is PBE-GGA.

Cell lengths 8.6491, 8.6491, 5.0245 Å; angles 96.65, 96.65, 98.00 degrees
Atoms (fractional coordinates):
Rb1 0.1265 0.8735 0.7500
Rb2 0.8735 0.1265 0.2500
Cu1 0.3340 0.6660 0.2500
Cu2 0.6660 0.3340 0.7500
As1 0.2175 0.3674 0.8392
As2 0.3674 0.2175 0.3392
As3 0.6326 0.7825 0.6608
As4 0.7825 0.6326 0.1608
O1 0.0575 0.2315 0.7938
O2 0.2042 0.5582 0.9493
O3 0.2315 0.0575 0.2938
O4 0.3047 0.3834 0.5316
O5 0.3834 0.3047 0.0316
O6 0.4418 0.7958 0.5507
O7 0.5582 0.2042 0.4493
O8 0.6166 0.6953 0.9684
O9 0.6953 0.6166 0.4684
O10 0.7685 0.9425 0.7062
O11 0.7958 0.4418 0.0507
O12 0.9425 0.7685 0.2062

- Symmetry: No. 15

This record from Alexandria describes a geometry-optimized Rb2CuAs2O6 structure. The functional is PBE-GGA.

Cell lengths 6.8002, 6.8002, 6.8002 Å; angles 51.59, 51.59, 51.59 degrees
Atoms (fractional coordinates):
Rb1 0.2194 0.2194 0.2194
Rb2 0.7806 0.7806 0.7806
Cu1 0.0000 0.0000 0.0000
As1 0.4265 0.4265 0.4265
As2 0.5735 0.5735 0.5735
O1 0.2418 0.2418 0.7349
O2 0.2418 0.7349 0.2418
O3 0.2651 0.7582 0.7582
O4 0.7349 0.2418 0.2418
O5 0.7582 0.2651 0.7582
O6 0.7582 0.7582 0.2651

- Symmetry: No. 166
- N(E_F): 2.707 states/eV/f.u.

This record from Alexandria describes a geometry-optimized CuAs2RhO8 structure. The functional is PBE-GGA.

Cell lengths 5.6523, 5.6523, 5.6523 Å; angles 108.18, 108.18, 112.09 degrees
Atoms (fractional coordinates):
Cu1 0.0000 0.0000 0.0000
As1 0.5000 0.5000 0.0000
As2 0.7500 0.2500 0.5000
Rh1 0.2500 0.7500 0.5000
O1 0.3086 0.1182 0.8097
O2 0.3086 0.4989 0.1903
O3 0.3700 0.0601 0.3099
O4 0.5011 0.6914 0.8097
O5 0.7502 0.0601 0.6901
O6 0.8818 0.6914 0.1903
O7 0.9399 0.2498 0.3099
O8 0.9399 0.6300 0.6901

- Symmetry: No. 119
- N(E_F): 5.845 states/eV/f.u.

This record from Alexandria describes a geometry-optimized CuAs2RuO8 structure. The functional is PBE-GGA.

Cell lengths 5.6489, 5.6489, 5.6489 Å; angles 108.06, 108.06, 112.33 degrees
Atoms (fractional coordinates):
Cu1 0.0000 0.0000 0.0000
As1 0.5000 0.5000 0.0000
As2 0.7500 0.2500 0.5000
Ru1 0.2500 0.7500 0.5000
O1 0.3131 0.1197 0.8066
O2 0.3131 0.5065 0.1934
O3 0.3693 0.0588 0.3105
O4 0.4935 0.6869 0.8066
O5 0.7483 0.0588 0.6895
O6 0.8803 0.6869 0.1934
O7 0.9412 0.2517 0.3105
O8 0.9412 0.6307 0.6895

- Symmetry: No. 119
- N(E_F): 7.925 states/eV/f.u.

This record from Alexandria describes a geometry-optimized CuAsRuO5 structure. The functional is PBE-GGA.

Cell lengths 5.5060, 5.5060, 7.2173 Å; angles 102.17, 102.17, 111.48 degrees
Atoms (fractional coordinates):
Cu1 0.2047 0.7953 0.7500
Cu2 0.7953 0.2047 0.2500
As1 0.1963 0.8037 0.2500
As2 0.8037 0.1963 0.7500
Ru1 0.5000 0.5000 0.0000
Ru2 0.5000 0.5000 0.5000
O1 0.0844 0.2645 0.9448
O2 0.1495 0.5310 0.3537
O3 0.2645 0.0844 0.4448
O4 0.4286 0.5714 0.7500
O5 0.4690 0.8505 0.1463
O6 0.5310 0.1495 0.8537
O7 0.5714 0.4286 0.2500
O8 0.7355 0.9156 0.5552
O9 0.8505 0.4690 0.6463
O10 0.9156 0.7355 0.0552

- Symmetry: No. 15
- N(E_F): 3.170 states/eV/f.u.

This record from Alexandria describes a geometry-optimized CuAsRuO6 structure. The functional is PBE-GGA.

Cell lengths 5.0115, 5.0115, 8.8493 Å; angles 90.00, 90.00, 120.00 degrees
Atoms (fractional coordinates):
Cu1 0.0000 0.0000 0.0000
Cu2 0.0000 0.0000 0.5000
As1 0.3333 0.6667 0.2500
As2 0.6667 0.3333 0.7500
Ru1 0.3333 0.6667 0.7500
Ru2 0.6667 0.3333 0.2500
O1 0.0116 0.3640 0.1325
O2 0.0116 0.6476 0.3675
O3 0.3524 0.3640 0.3675
O4 0.3524 0.9884 0.1325
O5 0.3640 0.0116 0.6325
O6 0.3640 0.3524 0.8675
O7 0.6360 0.6476 0.1325
O8 0.6360 0.9884 0.3675
O9 0.6476 0.0116 0.8675
O10 0.6476 0.6360 0.6325
O11 0.9884 0.3524 0.6325
O12 0.9884 0.6360 0.8675

- Symmetry: No. 163
- N(E_F): 6.226 states/eV/f.u.

This record from Alexandria describes a geometry-optimized CuSbAs2O structure. The functional is PBE-GGA.

Cell lengths 5.3417, 5.3417, 3.8520 Å; angles 90.00, 90.00, 90.00 degrees
Atoms (fractional coordinates):
Cu1 0.0000 0.0000 0.0000
Sb1 0.5000 0.5000 0.5000
As1 0.0000 0.5000 0.5000
As2 0.5000 0.0000 0.5000
O1 0.5000 0.5000 0.0000

- Symmetry: No. 123
- N(E_F): 2.661 states/eV/f.u.

Result set for uncorrected formation energy: 522 -848 -1051 -839 -516 -1677 -1369 -1407 -493 -1462 -1557 -1061 -1181 -1194 -589 -670 -871 -839 531 meV/atom, one per record in the order listed.